Version i
A geometry-optimized SrGeI3 structure. Source: Alexandria, functional PBE.

## Properties
Magnetization: 0.200 μB per atom
Space-group type: No. 221

Structure (CIF):
```
data_SrGeI3
_chemical_formula_sum 'Sr1 Ge1 I3'
_symmetry_space_group_name_H-M 'P 1'
_symmetry_Int_Tables_number 1
_cell_length_a 6.335
_cell_length_b 6.335
_cell_length_c 6.335
_cell_angle_alpha 90.00
_cell_angle_beta 90.00
_cell_angle_gamma 90.00
loop_
_symmetry_equiv_pos_as_xyz
'x,y,z'
loop_
_atom_site_label
_atom_site_type_symbol
_atom_site_fract_x
_atom_site_fract_y
_atom_site_fract_z
I1 I 0.000 0.500 0.000
Sr1 Sr 0.000 0.000 0.000
I2 I 0.500 0.000 0.000
Ge1 Ge 0.500 0.500 0.500
I3 I 0.000 0.000 0.500
```

---

Version ii
A geometry-optimized SrGeI3 structure. Source: Alexandria, functional PBE.

## Properties
Magnetization: 0.000 μB per atom
Space-group type: No. 221

Structure (CIF):
```
data_SrGeI3
_chemical_formula_sum 'Sr1 Ge1 I3'
_symmetry_space_group_name_H-M 'P 1'
_symmetry_Int_Tables_number 1
_cell_length_a 5.859
_cell_length_b 5.859
_cell_length_c 5.859
_cell_angle_alpha 90.00
_cell_angle_beta 90.00
_cell_angle_gamma 90.00
loop_
_symmetry_equiv_pos_as_xyz
'x,y,z'
loop_
_atom_site_label
_atom_site_type_symbol
_atom_site_fract_x
_atom_site_fract_y
_atom_site_fract_z
I1 I 0.500 0.000 0.000
Sr1 Sr 0.500 0.500 0.500
I2 I 0.000 0.000 0.500
I3 I 0.000 0.500 0.000
Ge1 Ge 0.000 0.000 0.000
```

---

Calculated relative energies: version i 14.3; version ii 0.0, given in kJ/mol of atoms

---

Version i
A geometry-optimized Sr2GeI structure. Source: Alexandria, functional PBE.

## Properties
Magnetization: 0.000 μB per atom
Space-group type: No. 160

Structure (CIF):
```
data_Sr2GeI
_chemical_formula_sum 'Sr2 Ge1 I1'
_symmetry_space_group_name_H-M 'P 1'
_symmetry_Int_Tables_number 1
_cell_length_a 4.485
_cell_length_b 4.485
_cell_length_c 9.007
_cell_angle_alpha 75.58
_cell_angle_beta 75.58
_cell_angle_gamma 60.00
loop_
_symmetry_equiv_pos_as_xyz
'x,y,z'
loop_
_atom_site_label
_atom_site_type_symbol
_atom_site_fract_x
_atom_site_fract_y
_atom_site_fract_z
I1 I 0.498 0.498 0.506
Sr1 Sr 0.071 0.071 0.788
Ge1 Ge 0.667 0.667 0.998
Sr2 Sr 0.264 0.264 0.208
```

---

Version ii
A geometry-optimized Sr2GeI structure. Source: Alexandria, functional PBE.

## Properties
Magnetization: 0.248 μB per atom
Space-group type: No. 225

Structure (CIF):
```
data_Sr2GeI
_chemical_formula_sum 'Sr2 Ge1 I1'
_symmetry_space_group_name_H-M 'P 1'
_symmetry_Int_Tables_number 1
_cell_length_a 5.721
_cell_length_b 5.721
_cell_length_c 5.721
_cell_angle_alpha 60.00
_cell_angle_beta 60.00
_cell_angle_gamma 60.00
loop_
_symmetry_equiv_pos_as_xyz
'x,y,z'
loop_
_atom_site_label
_atom_site_type_symbol
_atom_site_fract_x
_atom_site_fract_y
_atom_site_fract_z
Sr1 Sr 0.250 0.250 0.250
Ge1 Ge 0.000 0.000 0.000
I1 I 0.500 0.500 0.500
Sr2 Sr 0.750 0.750 0.750
```

---

Version iii
A geometry-optimized Sr2GeI structure. Source: Alexandria, functional PBE.

## Properties
Magnetization: 0.000 μB per atom
Space-group type: No. 123

Structure (CIF):
```
data_Sr2GeI
_chemical_formula_sum 'Sr2 Ge1 I1'
_symmetry_space_group_name_H-M 'P 1'
_symmetry_Int_Tables_number 1
_cell_length_a 3.925
_cell_length_b 3.925
_cell_length_c 8.719
_cell_angle_alpha 90.00
_cell_angle_beta 90.00
_cell_angle_gamma 90.00
loop_
_symmetry_equiv_pos_as_xyz
'x,y,z'
loop_
_atom_site_label
_atom_site_type_symbol
_atom_site_fract_x
_atom_site_fract_y
_atom_site_fract_z
Sr1 Sr 0.000 0.000 0.211
Ge1 Ge 0.500 0.500 0.000
Sr2 Sr 0.000 0.000 0.789
I1 I 0.500 0.500 0.500
```

---

Calculated relative energies: version i 0.0; version ii 20.6; version iii 3.7, given in kJ/mol of atoms